Compound: BeCu2Pb
Source: the Alexandria database
Functional: GGA-PBE
Structure: optimized geometry

The structure in POSCAR format:
```
BeCu2Pb
1.0
-2.164 2.164 7.735
2.164 -2.164 7.735
2.164 2.164 -7.735
Be Cu Pb
2 4 2
direct
0.000 0.000 0.000 Be
0.750 0.250 0.500 Be
0.375 0.233 0.358 Cu
0.767 0.125 0.142 Cu
0.875 0.017 0.642 Cu
0.983 0.625 0.858 Cu
0.250 0.750 0.500 Pb
0.500 0.500 0.000 Pb
```

Summary:
Space group = I-42d
E_tot = -3.440 eV/atom
Formation energy = 1.87 eV per formula unit
Magnetic moment = 0.00 μB per cell
Crystal system = tetragonal
Distance to the lowest polymorph of the same formula = 223 meV per atom

---

Compound: MgNpAs
Source: the Alexandria database
Functional: GGA-PBE
Structure: optimized geometry

The structure in POSCAR format:
```
MgNpAs
1.0
1.928 1.113 10.045
-1.928 1.113 10.045
0.000 -2.226 10.045
Mg Np As
2 2 2
direct
0.128 0.128 0.128 Mg
0.872 0.872 0.872 Mg
0.352 0.352 0.352 Np
0.648 0.648 0.648 Np
0.253 0.253 0.253 As
0.747 0.747 0.747 As
```

Summary:
Space group = R-3m
E_tot = -6.650 eV/atom
Formation energy = -0.77 eV per formula unit
Magnetic moment = 0.01 μB per cell
Crystal system = trigonal

---

Compound: Rb2TiCCl6
Source: the Alexandria database
Functional: GGA-PBE
Structure: optimized geometry

The structure in POSCAR format:
```
Rb2TiCCl6
1.0
-3.930 3.930 4.547
3.930 -3.930 4.547
3.930 3.930 -4.547
Rb Ti C Cl
2 1 1 6
direct
0.250 0.750 0.500 Rb
0.750 0.250 0.500 Rb
0.000 0.000 0.000 Ti
0.500 0.500 0.000 C
0.215 0.215 0.430 Cl
0.215 0.785 0.000 Cl
0.261 0.261 0.000 Cl
0.739 0.739 0.000 Cl
0.785 0.215 0.000 Cl
0.785 0.785 0.570 Cl
```

Summary:
Space group = I4/mmm
Formation energy from raw total energies = -0.89 eV per atom
E_tot = -3.907 eV/atom
Magnetic moment = 2.00 μB per cell
Crystal system = tetragonal

---

Compound: K2LiY
Source: the Alexandria database
Functional: GGA-PBE
Structure: optimized geometry

The structure in POSCAR format:
```
K2LiY
1.0
1.896 1.095 13.477
-1.896 1.095 13.477
0.000 -2.189 13.477
K Li Y
2 1 1
direct
0.246 0.246 0.246 K
0.754 0.754 0.754 K
0.500 0.500 0.500 Li
0.000 0.000 0.000 Y
```

Summary:
Space group = R-3m
E_tot = -2.272 eV/atom
Formation energy = 1.49 eV per formula unit
Magnetic moment = 0.37 μB per cell
Crystal system = trigonal

---

Compound: Sm6InGa
Source: the Alexandria database
Functional: GGA-PBE
Structure: optimized geometry

The structure in POSCAR format:
```
Sm6InGa
1.0
4.878 0.000 0.000
0.000 4.878 0.000
0.000 0.000 9.735
Sm In Ga
6 1 1
direct
0.000 0.000 0.000 Sm
0.000 0.000 0.500 Sm
0.000 0.500 0.243 Sm
0.000 0.500 0.757 Sm
0.500 0.000 0.243 Sm
0.500 0.000 0.757 Sm
0.500 0.500 0.500 In
0.500 0.500 0.000 Ga
```

Summary:
Space group = P4/mmm
E_tot = -4.510 eV/atom
Formation energy = -2.00 eV per formula unit
Magnetic moment = 0.80 μB per cell
Crystal system = tetragonal

---

Compound: Dy6Te2C
Source: the Alexandria database
Functional: GGA-PBE
Structure: optimized geometry

The structure in POSCAR format:
```
Dy6Te2C
1.0
6.446 0.000 0.000
0.000 7.601 0.000
-5.989 0.000 9.765
Dy Te C
12 4 2
direct
0.127 0.020 0.246 Dy
0.127 0.480 0.746 Dy
0.182 0.706 0.043 Dy
0.182 0.794 0.543 Dy
0.363 0.172 0.035 Dy
0.363 0.328 0.535 Dy
0.637 0.672 0.465 Dy
0.637 0.828 0.965 Dy
0.818 0.206 0.457 Dy
0.818 0.294 0.957 Dy
0.873 0.520 0.254 Dy
0.873 0.980 0.754 Dy
0.329 0.110 0.750 Te
0.329 0.390 0.250 Te
0.671 0.610 0.750 Te
0.671 0.890 0.250 Te
0.000 0.000 0.000 C
0.000 0.500 0.500 C
```

Summary:
Space group = P2_1/c
Formation energy from raw total energies = -0.65 eV per atom
E_tot = -5.442 eV/atom
Magnetic moment = 0.00 μB per cell
Crystal system = monoclinic

---

Compound: KMg2GaTe4
Source: the Alexandria database
Functional: GGA-PBE
Structure: optimized geometry

The structure in POSCAR format:
```
KMg2GaTe4
1.0
2.103 -7.924 0.000
2.103 7.924 0.000
0.000 0.000 15.634
K Mg Ga Te
2 4 2 8
direct
0.137 0.863 0.750 K
0.863 0.137 0.250 K
0.389 0.611 0.563 Mg
0.389 0.611 0.937 Mg
0.611 0.389 0.063 Mg
0.611 0.389 0.437 Mg
0.153 0.847 0.250 Ga
0.847 0.153 0.750 Ga
0.000 0.000 0.000 Te
0.000 0.000 0.500 Te
0.236 0.764 0.105 Te
0.236 0.764 0.395 Te
0.455 0.545 0.750 Te
0.545 0.455 0.250 Te
0.764 0.236 0.605 Te
0.764 0.236 0.895 Te
```

Summary:
Space group = Cmcm
Formation energy from raw total energies = -0.69 eV per atom
E_tot = -3.178 eV/atom
Magnetic moment = 0.00 μB per cell
Crystal system = orthorhombic

---

Compound: Na4PO4
Source: the Alexandria database
Functional: GGA-PBE
Structure: optimized geometry

The structure in POSCAR format:
```
Na4PO4
1.0
6.088 0.000 0.000
0.000 6.088 0.000
0.000 0.000 7.909
Na P O
8 2 8
direct
0.007 0.250 0.076 Na
0.250 0.007 0.576 Na
0.250 0.493 0.576 Na
0.493 0.250 0.076 Na
0.507 0.750 0.924 Na
0.750 0.507 0.424 Na
0.750 0.993 0.424 Na
0.993 0.750 0.924 Na
0.250 0.750 0.250 P
0.750 0.250 0.750 P
0.044 0.750 0.369 O
0.250 0.544 0.131 O
0.250 0.956 0.131 O
0.456 0.750 0.369 O
0.544 0.250 0.631 O
0.750 0.044 0.869 O
0.750 0.456 0.869 O
0.956 0.250 0.631 O
```

Summary:
Space group = P4_2/nmc
Formation energy from raw total energies = -1.80 eV per atom
E_tot = -5.196 eV/atom
Magnetic moment = 1.41 μB per cell
Crystal system = tetragonal

---

Compound: NdHo2Er5Sc
Source: the Alexandria database
Functional: GGA-PBE
Structure: optimized geometry

The structure in POSCAR format:
```
NdHo2Er5Sc
1.0
2.765 -9.795 0.000
2.765 9.795 0.000
0.000 0.000 10.323
Nd Ho Er Sc
2 4 10 2
direct
0.086 0.914 0.500 Nd
0.914 0.086 0.000 Nd
0.386 0.614 0.782 Ho
0.389 0.611 0.362 Ho
0.611 0.389 0.862 Ho
0.614 0.386 0.282 Ho
0.020 0.980 0.785 Er
0.123 0.877 0.068 Er
0.202 0.798 0.753 Er
0.223 0.777 0.369 Er
0.482 0.518 0.068 Er
0.518 0.482 0.568 Er
0.777 0.223 0.869 Er
0.798 0.202 0.253 Er
0.877 0.123 0.568 Er
0.980 0.020 0.285 Er
0.303 0.697 0.061 Sc
0.697 0.303 0.561 Sc
```

Summary:
Space group = Cmc2_1
E_tot = -4.611 eV/atom
Formation energy = 1.57 eV per formula unit
Magnetic moment = 0.00 μB per cell
Crystal system = orthorhombic

---

Compound: Ca4SiO
Source: the Alexandria database
Functional: GGA-PBE
Structure: optimized geometry

The structure in POSCAR format:
```
Ca4SiO
1.0
4.613 -7.394 0.000
4.613 7.394 0.000
-4.511 0.000 4.814
Ca Si O
8 2 2
direct
0.066 0.666 0.873 Ca
0.212 0.313 0.652 Ca
0.313 0.212 0.152 Ca
0.334 0.934 0.627 Ca
0.666 0.066 0.373 Ca
0.687 0.788 0.848 Ca
0.788 0.687 0.348 Ca
0.934 0.334 0.127 Ca
0.376 0.624 0.250 Si
0.624 0.376 0.750 Si
0.116 0.884 0.750 O
0.884 0.116 0.250 O
```

Summary:
Space group = C2/c
Formation energy from raw total energies = -1.05 eV per atom
E_tot = -4.113 eV/atom
Magnetic moment = 0.00 μB per cell
Crystal system = monoclinic

---

Compound: Tb3Pd5O12
Source: the Alexandria database
Functional: GGA-PBE
Structure: optimized geometry

The structure in POSCAR format:
```
Tb3Pd5O12
1.0
-6.432 6.432 6.432
6.432 -6.432 6.432
6.432 6.432 -6.432
Tb Pd O
12 20 48
direct
0.125 0.250 0.375 Tb
0.125 0.375 0.750 Tb
0.250 0.375 0.125 Tb
0.250 0.875 0.625 Tb
0.375 0.125 0.250 Tb
0.375 0.750 0.125 Tb
0.625 0.250 0.875 Tb
0.625 0.875 0.750 Tb
0.750 0.125 0.375 Tb
0.750 0.625 0.875 Tb
0.875 0.625 0.250 Tb
0.875 0.750 0.625 Tb
0.000 0.000 0.000 Pd
0.000 0.000 0.500 Pd
0.000 0.500 0.000 Pd
0.000 0.500 0.500 Pd
0.125 0.750 0.875 Pd
0.125 0.875 0.250 Pd
0.250 0.125 0.875 Pd
0.250 0.625 0.375 Pd
0.375 0.250 0.625 Pd
0.375 0.625 0.750 Pd
0.500 0.000 0.000 Pd
0.500 0.000 0.500 Pd
0.500 0.500 0.000 Pd
0.500 0.500 0.500 Pd
0.625 0.375 0.250 Pd
0.625 0.750 0.375 Pd
0.750 0.375 0.625 Pd
0.750 0.875 0.125 Pd
0.875 0.125 0.750 Pd
0.875 0.250 0.125 Pd
0.043 0.209 0.131 O
0.043 0.334 0.912 O
0.078 0.709 0.666 O
0.078 0.869 0.412 O
0.088 0.631 0.422 O
0.088 0.957 0.666 O
0.131 0.043 0.209 O
0.131 0.588 0.922 O
0.166 0.209 0.578 O
0.166 0.457 0.588 O
0.209 0.131 0.043 O
0.209 0.578 0.166 O
0.291 0.334 0.922 O
0.291 0.457 0.369 O
0.334 0.912 0.043 O
0.334 0.922 0.291 O
0.369 0.291 0.457 O
0.369 0.578 0.912 O
0.412 0.078 0.869 O
0.412 0.834 0.543 O
0.422 0.088 0.631 O
0.422 0.834 0.791 O
0.457 0.369 0.291 O
0.457 0.588 0.166 O
0.543 0.412 0.834 O
0.543 0.631 0.709 O
0.578 0.166 0.209 O
0.578 0.912 0.369 O
0.588 0.166 0.457 O
0.588 0.922 0.131 O
0.631 0.422 0.088 O
0.631 0.709 0.543 O
0.666 0.078 0.709 O
0.666 0.088 0.957 O
0.709 0.543 0.631 O
0.709 0.666 0.078 O
0.791 0.422 0.834 O
0.791 0.869 0.957 O
0.834 0.543 0.412 O
0.834 0.791 0.422 O
0.869 0.412 0.078 O
0.869 0.957 0.791 O
0.912 0.043 0.334 O
0.912 0.369 0.578 O
0.922 0.131 0.588 O
0.922 0.291 0.334 O
0.957 0.666 0.088 O
0.957 0.791 0.869 O
```

Summary:
Space group = Ia-3d
Formation energy from raw total energies = -1.36 eV per atom
E_tot = -6.323 eV/atom
Magnetic moment = 24.00 μB per cell
Crystal system = cubic

---

Compound: Tl2WAu
Source: the Alexandria database
Functional: GGA-PBE
Structure: optimized geometry

The structure in POSCAR format:
```
Tl2WAu
1.0
2.925 0.000 0.000
0.000 4.074 0.000
0.000 0.000 8.003
Tl W Au
2 1 1
direct
0.000 0.000 0.000 Tl
0.500 0.500 0.326 Tl
0.000 0.000 0.586 W
0.500 0.500 0.720 Au
```

Summary:
Space group = Pmm2
E_tot = -4.545 eV/atom
Formation energy = 2.78 eV per formula unit
Magnetic moment = 0.00 μB per cell
Crystal system = orthorhombic
Distance to the lowest polymorph of the same formula = 123 meV per atom

---

Compound: KBC
Source: the Alexandria database
Functional: GGA-PBE
Structure: optimized geometry

The structure in POSCAR format:
```
KBC
1.0
4.267 0.000 0.000
0.000 4.267 0.000
0.000 0.000 11.455
K B C
4 4 4
direct
0.000 0.044 0.000 K
0.000 0.956 0.500 K
0.044 0.000 0.750 K
0.956 0.000 0.250 K
0.484 0.484 0.375 B
0.484 0.516 0.125 B
0.516 0.484 0.625 B
0.516 0.516 0.875 B
0.471 0.500 0.250 C
0.500 0.471 0.500 C
0.500 0.529 0.000 C
0.529 0.500 0.750 C
```

Summary:
Space group = P4_122
E_tot = -5.551 eV/atom
Formation energy = 0.34 eV per formula unit
Magnetic moment = 0.00 μB per cell
Crystal system = tetragonal

---

Compound: Ba2NaSr6Rh
Source: the Alexandria database
Functional: GGA-PBE
Structure: optimized geometry

The structure in POSCAR format:
```
Ba2NaSr6Rh
1.0
6.386 -6.399 0.000
6.386 6.399 0.000
-6.369 0.000 6.401
Ba Na Sr Rh
2 1 6 1
direct
0.250 0.750 0.000 Ba
0.750 0.250 0.000 Ba
0.499 0.499 0.500 Na
0.228 0.228 0.500 Sr
0.228 0.228 0.957 Sr
0.228 0.771 0.500 Sr
0.771 0.228 0.500 Sr
0.771 0.771 0.043 Sr
0.771 0.771 0.500 Sr
0.999 0.999 0.500 Rh
```

Summary:
Space group = Cm
E_tot = -2.303 eV/atom
Formation energy = -0.42 eV per formula unit
Magnetic moment = 0.00 μB per cell
Crystal system = monoclinic

---

Compound: Rb2In7Pb12
Source: the Alexandria database
Functional: GGA-PBE
Structure: optimized geometry

The structure in POSCAR format:
```
Rb2In7Pb12
1.0
14.813 0.000 0.000
-7.406 12.828 0.000
0.000 0.000 3.555
Rb In Pb
2 7 12
direct
0.333 0.667 0.247 Rb
0.667 0.333 0.753 Rb
0.000 0.000 0.500 In
0.127 0.708 0.743 In
0.292 0.419 0.743 In
0.419 0.127 0.257 In
0.581 0.873 0.743 In
0.708 0.581 0.257 In
0.873 0.292 0.257 In
0.078 0.460 0.750 Pb
0.081 0.244 0.233 Pb
0.163 0.919 0.233 Pb
0.244 0.163 0.767 Pb
0.382 0.922 0.750 Pb
0.460 0.382 0.250 Pb
0.540 0.618 0.750 Pb
0.618 0.078 0.250 Pb
0.756 0.837 0.233 Pb
0.837 0.081 0.767 Pb
0.919 0.756 0.767 Pb
0.922 0.540 0.250 Pb
```

Summary:
Space group = P-3
E_tot = -3.128 eV/atom
Formation energy = -0.07 eV per formula unit
Magnetic moment = 0.00 μB per cell
Crystal system = trigonal

---

Compound: PaVSi2
Source: the Alexandria database
Functional: GGA-PBE
Structure: optimized geometry

The structure in POSCAR format:
```
PaVSi2
1.0
1.920 1.109 5.831
-1.920 1.109 5.831
0.000 -2.217 5.831
Pa V Si
1 1 2
direct
0.000 0.000 0.000 Pa
0.500 0.500 0.500 V
0.230 0.230 0.230 Si
0.770 0.770 0.770 Si
```

Summary:
Space group = R-3m
Formation energy from raw total energies = -0.26 eV per atom
E_tot = -7.621 eV/atom
Magnetic moment = 0.00 μB per cell
Crystal system = trigonal
Distance to the lowest polymorph of the same formula = 292 meV per atom

---

Compound: Na3InTe2
Source: the Alexandria database
Functional: GGA-PBE
Structure: optimized geometry

The structure in POSCAR format:
```
Na3InTe2
1.0
-3.914 7.774 3.515
3.914 -7.774 3.515
3.914 7.774 -3.515
Na In Te
6 2 4
direct
0.016 0.750 0.266 Na
0.250 0.250 0.000 Na
0.484 0.750 0.734 Na
0.516 0.250 0.266 Na
0.750 0.750 0.000 Na
0.984 0.250 0.734 Na
0.000 0.500 0.500 In
0.500 0.000 0.500 In
0.138 0.210 0.348 Te
0.362 0.710 0.071 Te
0.638 0.290 0.929 Te
0.862 0.790 0.652 Te
```

Summary:
Space group = Ibam
Formation energy from raw total energies = -0.61 eV per atom
E_tot = -2.773 eV/atom
Magnetic moment = 0.00 μB per cell
Crystal system = orthorhombic

---

Compound: MgGeSbCl2
Source: the Alexandria database
Functional: GGA-PBE
Structure: optimized geometry

The structure in POSCAR format:
```
MgGeSbCl2
1.0
5.240 0.000 0.000
0.000 5.240 0.000
0.000 0.000 5.851
Mg Ge Sb Cl
1 1 1 2
direct
0.000 0.000 0.000 Mg
0.500 0.500 0.000 Ge
0.000 0.000 0.500 Sb
0.000 0.500 0.500 Cl
0.500 0.000 0.500 Cl
```

Summary:
Space group = P4/mmm
Formation energy from raw total energies = 0.17 eV per atom
E_tot = -2.632 eV/atom
Magnetic moment = 1.25 μB per cell
Crystal system = tetragonal

---

Compound: Nb2AgOsW
Source: the Alexandria database
Functional: GGA-PBE
Structure: optimized geometry

The structure in POSCAR format:
```
Nb2AgOsW
1.0
4.846 0.000 0.000
0.000 4.846 0.000
0.000 0.000 4.748
Nb Ag Os W
2 1 1 1
direct
0.000 0.500 0.000 Nb
0.500 0.000 0.000 Nb
0.000 0.000 0.500 Ag
0.500 0.500 0.500 Os
0.500 0.500 0.000 W
```

Summary:
Space group = P4/mmm
E_tot = -7.891 eV/atom
Formation energy = 7.72 eV per formula unit
Magnetic moment = 0.00 μB per cell
Crystal system = tetragonal